Computed, not measured: a geometry-optimized Li2MoO4 structure at the GGA+U level of DFT.

Computed properties:
- Symmetry: C2/m, No. 12
- DFT total energy: -43.16 eV per cell

a b c (Å): 5.624 5.624 5.137
angles (deg): 107.55 107.55 31.54
Positions (direct):
Li 0.170 0.170 0.084
Li 0.830 0.830 0.916
Mo 0.500 0.500 0.500
O 0.084 0.084 0.367
O 0.364 0.364 0.167
O 0.636 0.636 0.833
O 0.916 0.916 0.633